#A
Here is an optimized crystal structure of SrAl6Pd2 from the Alexandria database. Energies are from PBE.

abc: 4.2201 6.7697 6.7697
angles: 85.06 72.06 72.06
With the nearest neighbours (Å) after each atom.
Fractional positions:
Sr (0.0000, 0.0000, 0.0000)  2 Pd 3.05, 4 Al 3.31
Al (0.2110, 0.1301, 0.4475)  2 Pd 2.60, 5 Al 2.78-2.91
Al (0.7890, 0.8699, 0.5525)  2 Pd 2.60, 5 Al 2.78-2.91
Al (0.7890, 0.5525, 0.8699)  2 Pd 2.60, 5 Al 2.78-2.91
Al (0.5000, 0.7216, 0.2784)  2 Pd 2.51
Al (0.5000, 0.2784, 0.7216)  2 Pd 2.51
Al (0.2110, 0.4475, 0.1301)  2 Pd 2.60, 5 Al 2.78-2.91
Pd (0.3362, 0.6638, 0.6638)  6 Al 2.51-2.60
Pd (0.6638, 0.3362, 0.3362)  6 Al 2.51-2.60

Values from the calculation:
Density   4.386 g/cm3

#B
Here is an optimized crystal structure of SrAl6Pd2 from the Alexandria database. Energies are from PBE.

abc: 4.2051 7.3106 7.3106
angles: 57.51 73.29 73.29
With the nearest neighbours (Å) after each atom.
Fractional positions:
Sr (0.0000, 0.0000, 0.0000)  12 Al 3.12-3.45
Al (0.6946, 0.0032, 0.6076)  4 Al 2.53-2.78, 1 Pd 2.61
Al (0.3054, 0.9968, 0.3924)  4 Al 2.53-2.78, 1 Pd 2.61
Al (0.3054, 0.3924, 0.9968)  4 Al 2.53-2.78, 1 Pd 2.61
Al (0.5000, 0.6721, 0.3279)  3 Al 2.42-2.53
Al (0.5000, 0.3279, 0.6721)  3 Al 2.42-2.53
Al (0.6946, 0.6076, 0.0032)  4 Al 2.53-2.78, 1 Pd 2.61
Pd (0.8766, 0.6234, 0.6234)  6 Al 2.61-2.85
Pd (0.1234, 0.3766, 0.3766)  6 Al 2.61-2.85

Values from the calculation:
Density   4.287 g/cm3

Most stable structure: #A

#A
Here is an optimized crystal structure of SrAlZn2Pd from the Alexandria database. Energies are from PBE.

abc: 4.2072 4.4102 6.3649
angles: 110.27 109.30 90.00
With the nearest neighbours (Å) after each atom.
Fractional positions:
Sr (0.4433, 0.4433, 0.8866)  8 Zn 3.30-3.59, 4 Pd 3.34, 4 Al 3.51-3.55
Al (0.1948, 0.6948, 0.3895)  2 Pd 2.53, 2 Zn 2.70
Zn (0.6969, 0.1969, 0.3939)  2 Pd 2.61, 2 Zn 2.63
Zn (0.0561, 0.0561, 0.1122)  1 Pd 2.63, 2 Zn 2.63, 2 Al 2.70
Pd (0.8211, 0.8211, 0.6421)  2 Al 2.53, 3 Zn 2.61-2.63

Values from the calculation:
Density   5.635 g/cm3

#B
Here is an optimized crystal structure of SrAlZn2Pd from the Alexandria database. Energies are from PBE.

abc: 4.9206 4.9206 4.7686
angles: 90.00 90.00 90.00
With the nearest neighbours (Å) after each atom.
Fractional positions:
Sr (0.5000, 0.5000, 0.5000)  8 Zn 3.43, 4 Al 3.48
Zn (0.0000, 0.5000, 0.0000)  2 Pd 2.46
Zn (0.5000, 0.0000, 0.0000)  2 Pd 2.46
Al (0.0000, 0.0000, 0.5000)  2 Pd 2.38
Pd (0.0000, 0.0000, 0.0000)  2 Al 2.38, 4 Zn 2.46

Values from the calculation:
Density   5.060 g/cm3

Most stable structure: #A

#A
Here is an optimized crystal structure of Tb2AlPd6 from the Alexandria database. Energies are from PBE.

abc: 5.7203 5.7448 5.7448
angles: 60.00 90.00 90.00
With the nearest neighbours (Å) after each atom.
Fractional positions:
Tb (0.8181, 0.6667, 0.6667)  9 Pd 2.96-3.21
Tb (0.1819, 0.3333, 0.3333)  9 Pd 2.96-3.21
Al (0.0000, 0.0000, 0.0000)  6 Pd 2.45
Pd (0.3054, 0.3458, 0.8271)  1 Al 2.45
Pd (0.3054, 0.8271, 0.8271)  1 Al 2.45
Pd (0.3054, 0.8271, 0.3458)  1 Al 2.45
Pd (0.6946, 0.6542, 0.1729)  1 Al 2.45
Pd (0.6946, 0.1729, 0.1729)  1 Al 2.45
Pd (0.6946, 0.1729, 0.6542)  1 Al 2.45

Values from the calculation:
Density   9.987 g/cm3

#B
Here is an optimized crystal structure of Tb2AlPd6 from the Alexandria database. Energies are from PBE.

abc: 3.7379 7.5180 7.6409
angles: 119.47 104.24 90.00
With the nearest neighbours (Å) after each atom.
Fractional positions:
Tb (0.6508, 0.6502, 0.3005)  8 Pd 2.83-2.90
Tb (0.3492, 0.3498, 0.6995)  8 Pd 2.83-2.90
Al (0.0000, 0.0000, 0.0000)  8 Pd 2.47-2.61
Pd (0.1648, 0.3716, 0.3292)  1 Al 2.61, 2 Pd 2.81, 3 Tb 2.83-2.90
Pd (0.8352, 0.0424, 0.6708)  1 Al 2.61, 2 Pd 2.81, 3 Tb 2.83-2.90
Pd (0.8352, 0.6284, 0.6708)  1 Al 2.61, 2 Pd 2.81, 3 Tb 2.83-2.90
Pd (0.5000, 0.2150, 0.0000)  2 Al 2.47
Pd (0.1648, 0.9576, 0.3292)  1 Al 2.61, 2 Pd 2.81, 3 Tb 2.83-2.90
Pd (0.5000, 0.7850, 0.0000)  2 Al 2.47

Values from the calculation:
Density   9.106 g/cm3

Most stable structure: #A

#A
Here is an optimized crystal structure of Tb4Al3Pd from the Alexandria database. Energies are from PBE.

abc: 3.5839 3.5839 14.4739
angles: 90.00 90.00 90.00
With the nearest neighbours (Å) after each atom.
Fractional positions:
Tb (0.0000, 0.0000, 0.8821)  4 Pd 3.06, 4 Al 3.14, 1 Tb 3.41
Tb (0.0000, 0.0000, 0.1179)  4 Pd 3.06, 4 Al 3.14, 1 Tb 3.41
Tb (0.0000, 0.0000, 0.3727)  8 Al 3.12-3.13
Tb (0.0000, 0.0000, 0.6273)  8 Al 3.12-3.13
Al (0.5000, 0.5000, 0.2464)  8 Tb 3.12-3.14
Al (0.5000, 0.5000, 0.5000)  8 Tb 3.13
Al (0.5000, 0.5000, 0.7536)  8 Tb 3.12-3.14
Pd (0.5000, 0.5000, 0.0000)  8 Tb 3.06

Values from the calculation:
Density   7.352 g/cm3

#B
Here is an optimized crystal structure of Tb4Al3Pd from the Alexandria database. Energies are from PBE.

abc: 3.7631 4.4887 11.5222
angles: 90.00 90.00 90.00
With the nearest neighbours (Å) after each atom.
Fractional positions:
Tb (0.5000, 0.5000, 0.3406)  6 Al 3.11-3.21, 1 Pd 3.11
Tb (0.0000, 0.5000, 0.8612)  4 Al 3.03, 2 Pd 3.06
Tb (0.0000, 0.0000, 0.1442)  4 Pd 3.05, 3 Al 3.10-3.30
Tb (0.5000, 0.0000, 0.6562)  7 Al 3.11-3.21
Al (0.0000, 0.5000, 0.5660)  2 Al 2.73
Al (0.0000, 0.0000, 0.4309)  2 Al 2.73
Al (0.5000, 0.0000, 0.9302)  2 Pd 2.77, 4 Tb 3.03
Pd (0.5000, 0.5000, 0.0707)  2 Al 2.77, 6 Tb 3.05-3.06

Values from the calculation:
Density   7.022 g/cm3

Most stable structure: #A

#A
Here is an optimized crystal structure of Tb12AlPd6 from the Alexandria database. Energies are from PBE.

abc: 8.6378 8.6378 8.6378
angles: 109.47 109.47 109.47
With the nearest neighbours (Å) after each atom.
Fractional positions:
Tb (0.2956, 0.1126, 0.8170)  1 Pd 2.72
Tb (0.2956, 0.4786, 0.1830)  1 Pd 2.72
Tb (0.7044, 0.5214, 0.8170)  1 Pd 2.72
Tb (0.7044, 0.8874, 0.1830)  1 Pd 2.72
Tb (0.1126, 0.8170, 0.2956)  1 Pd 2.72
Tb (0.4786, 0.1830, 0.2956)  1 Pd 2.72
Tb (0.5214, 0.8170, 0.7044)  1 Pd 2.72
Tb (0.8874, 0.1830, 0.7044)  1 Pd 2.72
Tb (0.8170, 0.2956, 0.1126)  1 Pd 2.72
Tb (0.1830, 0.2956, 0.4786)  1 Pd 2.72
Tb (0.8170, 0.7044, 0.5214)  1 Pd 2.72
Tb (0.1830, 0.7044, 0.8874)  1 Pd 2.72
Al (0.0000, 0.0000, 0.0000)  12 Tb 3.47
Pd (0.3631, 0.5000, 0.8631)  2 Tb 2.72, 1 Pd 2.73
Pd (0.6369, 0.5000, 0.1369)  2 Tb 2.72, 1 Pd 2.73
Pd (0.5000, 0.8631, 0.3631)  2 Tb 2.72, 1 Pd 2.73
Pd (0.5000, 0.1369, 0.6369)  2 Tb 2.72, 1 Pd 2.73
Pd (0.8631, 0.3631, 0.5000)  2 Tb 2.72, 1 Pd 2.73
Pd (0.1369, 0.6369, 0.5000)  2 Tb 2.72, 1 Pd 2.73

Values from the calculation:
Density   8.611 g/cm3

#B
Here is an optimized crystal structure of Tb12AlPd6 from the Alexandria database. Energies are from PBE.

abc: 8.6957 8.6957 8.6957
angles: 108.79 108.79 108.79
With the nearest neighbours (Å) after each atom.
Fractional positions:
Tb (0.8542, 0.6210, 0.5565)  3 Pd 2.81-3.03
Tb (0.5565, 0.8542, 0.6210)  3 Pd 2.81-3.03
Tb (0.6210, 0.5565, 0.8542)  3 Pd 2.81-3.03
Tb (0.1458, 0.3790, 0.4435)  3 Pd 2.81-3.03
Tb (0.4435, 0.1458, 0.3790)  3 Pd 2.81-3.03
Tb (0.3790, 0.4435, 0.1458)  3 Pd 2.81-3.03
Tb (0.0315, 0.8623, 0.3217)  3 Pd 2.80-2.91
Tb (0.1377, 0.6783, 0.9685)  3 Pd 2.80-2.91
Tb (0.6783, 0.9685, 0.1377)  3 Pd 2.80-2.91
Tb (0.9685, 0.1377, 0.6783)  3 Pd 2.80-2.91
Tb (0.8623, 0.3217, 0.0315)  3 Pd 2.80-2.91
Tb (0.3217, 0.0315, 0.8623)  3 Pd 2.80-2.91
Al (0.0000, 0.0000, 0.0000)  12 Tb 3.35-3.65
Pd (0.7064, 0.7815, 0.3503)  6 Tb 2.80-3.03
Pd (0.6497, 0.2936, 0.2185)  6 Tb 2.80-3.03
Pd (0.2185, 0.6497, 0.2936)  6 Tb 2.80-3.03
Pd (0.2936, 0.2185, 0.6497)  6 Tb 2.80-3.03
Pd (0.3503, 0.7064, 0.7815)  6 Tb 2.80-3.03
Pd (0.7815, 0.3503, 0.7064)  6 Tb 2.80-3.03

Values from the calculation:
Density   8.239 g/cm3

Most stable structure: #A